# BaSrAs

Crystalline BaSrAs at its relaxed geometry (PBE, Alexandria).

Cell and atoms, written as CIF:
```
data_BaSrAs
_cell_length_a 5.1187
_cell_length_b 5.1187
_cell_length_c 5.1491
_cell_angle_alpha 90.00
_cell_angle_beta 90.00
_cell_angle_gamma 120.00
_space_group_name_H-M_alt 'P 3 m 1'
_space_group_IT_number 156
loop_
_space_group_symop_operation_xyz
'x,y,z'
'-y,x-y,z'
'-x+y,-x,z'
'-y,-x,z'
'-x+y,y,z'
'x,x-y,z'
loop_
_atom_site_label
_atom_site_type_symbol
_atom_site_fract_x
_atom_site_fract_y
_atom_site_fract_z
Ba1 Ba 0.0000 0.0000 0.0000
Sr1 Sr 0.6667 0.3333 0.5024
As1 As 0.3333 0.6667 0.6075
```

DOS(E_F) = 0.5164 states/eV/atom
E above lowest polymorph = 3.27 kcal/mol of atoms
total DFT energy (no corrections) = -10.44 eV per formula unit
energy relative to the elements = -2.2 eV/f.u.
theoretical density = 4.3 g/cm³